<1>
4
Lattice="3.5142 0.0000 0.0000 0.0000 3.5142 0.0000 0.0000 0.0000 7.0937" Properties=species:S:1:pos:R:3 comment="PtRhPb2 | the Alexandria database | PBE | optimized geometry" vol_a3_per_cell=87.6 pbc="T T T"
Pt 0.0000 0.0000 3.6973
Pb 0.0000 0.0000 6.5976
Pb 1.7571 1.7571 2.2394
Rh 1.7571 1.7571 5.1998

---

<2>
4
Lattice="-5.5990 2.8945 -0.7089 -6.0666 -1.4703 -1.1243 -5.6424 0.3305 2.8782" Properties=species:S:1:pos:R:3 comment="PtRhPb2 | the Alexandria database | PBE | optimized geometry" vol_a3_per_cell=97.8 pbc="T T T"
Pb -16.8324 1.7065 1.0163
Rh -3.5473 0.3596 0.2142
Pt -9.4236 0.9554 0.5690
Pb -13.4666 1.3653 0.8131

---

<3>
4
Lattice="-1.0937 6.9291 2.2751 -3.3560 4.8100 4.4705 0.3389 5.1228 5.2940" Properties=species:S:1:pos:R:3 comment="PtRhPb2 | the Alexandria database | PBE | optimized geometry" vol_a3_per_cell=88.0 pbc="T T T"
Rh 0.0000 0.0000 0.0000
Pb -3.0813 12.6393 9.0246
Pb -1.0294 4.2226 3.0149
Pt -2.0554 8.4309 6.0198

---

<4>
4
Lattice="-0.8142 -1.2331 -3.0886 3.1396 -1.3335 -0.2952 -2.2077 -5.8431 2.9147" Properties=species:S:1:pos:R:3 comment="PtRhPb2 | the Alexandria database | PBE | optimized geometry" vol_a3_per_cell=80.8 pbc="T T T"
Pb -1.6440 -4.3512 2.1705
Rh 0.0589 -4.2048 -0.2345
Pt 1.1627 -1.2833 -1.6919
Pb -0.5637 -1.4919 0.7442

---

Winner for stability: <1>

---

<1>
6
Lattice="4.0222 0.0830 4.6059 4.0986 4.5212 0.3992 -0.4983 4.1976 4.4195" Properties=species:S:1:pos:R:3 comment="PtRhPb4 | the Alexandria database | PBE | optimized geometry" vol_a3_per_cell=161.7 pbc="T T T"
Pb 2.6083 5.4003 5.7448
Pb 4.9086 5.5622 3.7330
Pt 5.7169 6.6014 7.0684
Rh 0.0000 0.0000 0.0000
Pb 2.8577 3.2998 3.5333
Pb 4.8704 3.3413 5.8381

---

<2>
24
Lattice="-3.3101 -1.9093 -1.7701 4.3967 -2.7854 -5.2175 3.0258 -15.0673 10.5938" Properties=species:S:1:pos:R:3 comment="PtRhPb4 | the Alexandria database | PBE | optimized geometry" vol_a3_per_cell=579.3 pbc="T T T"
Rh 1.0230 -4.4946 -4.5796
Pb 4.8953 -16.7184 6.3738
Pb 1.8876 -15.3961 5.5624
Pb 2.7692 -8.3734 1.3486
Pb 1.8512 -12.5222 7.5403
Pt 3.3052 -15.5287 3.0544
Pb 2.2613 -7.2398 -3.9341
Rh -0.0498 -8.7066 1.9698
Pt 0.8458 -12.8362 4.7493
Pt 0.8073 -4.2334 0.5518
Pb -0.7829 -3.0437 -2.7675
Pb 4.6138 -18.1204 3.4028
Pb -0.5014 -1.6417 0.2035
Pb 1.4302 -9.0178 4.5475
Pb 3.8263 -12.8034 4.1500
Pb 0.2862 -6.9587 -0.5438
Pb 0.6398 -6.0273 2.7999
Pb 3.4726 -13.7348 0.8063
Pb 2.2248 -4.3659 -1.9561
Rh 3.0895 -15.2674 8.1858
Pt 3.2666 -6.9259 -1.1430
Pb 1.3433 -11.3887 2.2577
Pb 2.6822 -10.7442 -0.9412
Rh 4.1623 -11.0555 1.6364

---

<3>
12
Lattice="-1.8425 4.7196 -3.3832 -5.8928 -4.6737 -1.1042 0.8383 2.5566 7.4920" Properties=species:S:1:pos:R:3 comment="PtRhPb4 | the Alexandria database | PBE | optimized geometry" vol_a3_per_cell=301.0 pbc="T T T"
Rh -1.4361 3.5859 -2.4435
Pt -2.5980 2.9999 2.8571
Pt -4.2990 -0.3974 0.1475
Pb -5.0117 2.1264 1.4314
Rh -5.4609 -0.9834 5.4481
Pb -3.6300 1.0128 4.6093
Pb -3.2670 1.5897 -1.6048
Pb -5.7385 -1.0886 2.5920
Pb -0.7287 1.1233 6.2297
Pb -1.1585 3.6911 0.4125
Pb -1.8853 0.4761 1.5732
Pb -6.1683 1.4792 -3.2252

---

Winner for stability: <3>

---

<1>
10
Lattice="7.0240 0.0000 0.0000 0.0000 7.0240 0.0000 0.0000 0.0000 3.5739" Properties=species:S:1:pos:R:3 comment="Pt2Rh2Pb | the Alexandria database | PBE | optimized geometry" vol_a3_per_cell=176.3 pbc="T T T"
Rh 6.0834 4.4527 0.0000
Pt 4.5976 5.9384 1.7870
Pt 2.4264 1.0856 1.7870
Pb 0.0000 0.0000 0.0000
Rh 0.9406 2.5714 0.0000
Pb 3.5120 3.5120 0.0000
Pt 1.0856 4.5976 1.7870
Rh 2.5714 6.0834 0.0000
Rh 4.4527 0.9406 0.0000
Pt 5.9384 2.4264 1.7870

---

<2>
5
Lattice="3.7603 0.0000 0.0000 0.0000 3.7603 0.0000 1.8802 1.8802 6.5670" Properties=species:S:1:pos:R:3 comment="Pt2Rh2Pb | the Alexandria database | PBE | optimized geometry" vol_a3_per_cell=92.9 pbc="T T T"
Rh 1.8802 3.7603 3.2835
Pb 0.0000 0.0000 0.0000
Rh 3.7603 1.8802 3.2835
Pt 3.7603 3.7603 5.2051
Pt 1.8802 1.8802 1.3619

---

<3>
5
Lattice="-3.6650 -0.5806 -0.5121 0.6173 -0.6970 -3.6283 -0.7091 -6.9785 -0.7136" Properties=species:S:1:pos:R:3 comment="Pt2Rh2Pb | the Alexandria database | PBE | optimized geometry" vol_a3_per_cell=91.7 pbc="T T T"
Pb 0.0000 0.0000 0.0000
Rh -2.3971 -6.3397 -3.0572
Pt -0.8078 -4.1572 -3.2061
Pt -2.9490 -4.0990 -1.6479
Rh -1.3596 -1.9164 -1.7968

---

Winner for stability: <1>

---

<1>
3
Lattice="-1.3554 0.6584 4.1763 -4.3279 -0.1500 0.9790 -1.6246 -3.3870 2.3667" Properties=species:S:1:pos:R:3 comment="RuPtPb | the Alexandria database | PBE | optimized geometry" vol_a3_per_cell=61.9 pbc="T T T"
Pb 0.0000 0.0000 0.0000
Ru -1.8270 -0.7197 1.8805
Pt -3.6539 -1.4393 3.7610

---

<2>
3
Lattice="5.0280 0.0054 -0.0211 2.4282 4.4028 0.0211 -3.3627 -2.8221 2.4513" Properties=species:S:1:pos:R:3 comment="RuPtPb | the Alexandria database | PBE | optimized geometry" vol_a3_per_cell=54.4 pbc="T T T"
Pt 2.4208 1.4312 0.0000
Ru 5.0334 2.9758 0.0000
Pb 0.0020 0.0012 0.0000

---

Winner for stability: <1>

---

<1>
3
Lattice="6.0514 -0.0104 0.0112 5.2419 3.0240 -0.0005 0.8095 0.2285 3.0258" Properties=species:S:1:pos:R:3 comment="RuPtPb | the Alexandria database | PBE | optimized geometry" vol_a3_per_cell=55.5 pbc="T T T"
Pb 11.2599 3.0048 0.0203
Pt 7.9627 2.1288 0.9685
Ru 4.1733 1.1221 2.0583

---

<2>
3
Lattice="-1.3476 4.2861 -0.3838 -0.0799 -2.0371 4.0222 2.9128 0.9648 0.5464" Properties=species:S:1:pos:R:3 comment="RuPtPb | the Alexandria database | PBE | optimized geometry" vol_a3_per_cell=54.9 pbc="T T T"
Ru 1.0852 2.8442 1.4620
Pb 0.0218 0.0072 0.0041
Pt 0.3782 0.3623 2.7188

---

Winner for stability: <1>

---

<1>
5
Lattice="5.0722 0.0000 0.0000 0.0000 5.0722 0.0000 0.0000 0.0000 5.0722" Properties=species:S:1:pos:R:3 comment="Pt3PbS | the Alexandria database | PBE | optimized geometry" vol_a3_per_cell=130.5 pbc="T T T"
S 2.5361 2.5361 2.5361
Pt 0.0000 2.5361 0.0000
Pt 2.5361 0.0000 0.0000
Pt 0.0000 0.0000 2.5361
Pb 0.0000 0.0000 0.0000

---

<2>
5
Lattice="-3.0487 3.1477 -1.5004 -3.2644 -3.2770 -0.2417 -1.2258 0.8984 4.3754" Properties=species:S:1:pos:R:3 comment="Pt3PbS | the Alexandria database | PBE | optimized geometry" vol_a3_per_cell=99.4 pbc="T T T"
Pb -3.7695 0.3845 1.3166
S 0.0000 0.0000 0.0000
Pt -1.5243 1.5738 -0.7502
Pt -0.6129 0.4492 2.1877
Pt -1.6322 -1.6385 -0.1209

---

Winner for stability: <2>